(1)
A relaxed structure of Re2MoRu2. Source: the Alexandria database, functional GGA-PBE.

Lattice parameters (Å, degrees): 3.767 3.767 6.371 72.80 72.80 90.00
Atoms (fractional coordinates):
Re (0.750, 0.250, 0.500)
Re (0.250, 0.750, 0.500)
Mo (0.000, 0.000, 0.000)
Ru (0.399, 0.399, 0.202)
Ru (0.601, 0.601, 0.798)

Output
N(E_F) ... 4.46 states/eV/cell
Space group ... I4/mmm
ΔH_f (0 K) ... 0.663 eV per atom
Energy relative to the lowest polymorph listed for this composition ... 462 meV per atom
Energy ... -10.193 eV per atom
M_tot ... 0.00 Bohr magnetons per cell
Volume ... 82 Å³/f.u.

(2)
A relaxed structure of Ce2TlAg2. Source: the Alexandria database, functional GGA-PBE.

Lattice parameters (Å, degrees): 5.146 5.964 9.994 62.23 75.08 64.44
Each line ends with the local moment (μB).
Atoms (fractional coordinates):
Ce (0.429, 0.763, 0.878)  0.91
Ce (0.929, 0.263, 0.378)  0.91
Ce (0.571, 0.237, 0.122)  0.91
Ce (0.071, 0.737, 0.622)  0.91
Tl (0.250, 0.750, 0.250)  -0.01
Tl (0.750, 0.250, 0.750)  -0.01
Ag (0.368, 0.207, 0.557)  0.00
Ag (0.132, 0.293, 0.943)  0.00
Ag (0.632, 0.793, 0.443)  0.00
Ag (0.868, 0.707, 0.057)  0.00

Output
N(E_F) ... 19.87 states/eV/cell
Space group ... C2/m
ΔH_f (0 K) ... -0.140 eV per atom
Energy ... -4.127 eV per atom
M_tot ... 4.28 Bohr magnetons per cell
Volume ... 122 Å³/f.u.

(3)
A relaxed structure of PtRhS. Source: the Alexandria database, functional GGA-PBE.

Lattice parameters (Å, degrees): 3.501 10.061 5.569 90.00 90.00 90.00
Atoms (fractional coordinates):
S (0.000, 0.156, 0.787)
S (0.000, 0.844, 0.287)
S (0.500, 0.656, 0.787)
S (0.500, 0.344, 0.287)
Rh (0.000, 0.339, 0.030)
Rh (0.000, 0.661, 0.530)
Rh (0.500, 0.839, 0.030)
Rh (0.500, 0.161, 0.530)
Pt (0.000, 0.935, 0.670)
Pt (0.000, 0.065, 0.170)
Pt (0.500, 0.435, 0.670)
Pt (0.500, 0.565, 0.170)

Output
N(E_F) ... 6.12 states/eV/cell
Space group ... Cmc2_1
Energy relative to the lowest polymorph listed for this composition ... 14 meV per atom
Energy ... -5.962 eV per atom
M_tot ... 0.00 Bohr magnetons per cell
Formation energy from raw total energies ... -0.122 eV per atom
Volume ... 49 Å³/f.u.

(4)
A relaxed structure of InCoNiIr. Source: the Alexandria database, functional GGA-PBE.

Lattice parameters (Å, degrees): 4.309 4.309 4.309 60.00 60.00 60.00
Each line ends with the local moment (μB).
Atoms (fractional coordinates):
Ni (0.000, 0.000, 0.000)  0.18
Ir (0.250, 0.250, 0.250)  0.49
Co (0.500, 0.500, 0.500)  1.60
In (0.750, 0.750, 0.750)  -0.03

Output
N(E_F) ... 4.84 states/eV/cell
Space group ... F-43m
ΔH_f (0 K) ... 0.124 eV per atom
Energy ... -5.997 eV per atom
M_tot ... 2.23 Bohr magnetons per cell
Volume ... 57 Å³/f.u.

(5)
A relaxed structure of Pm2MgSn3Pd4. Source: the Alexandria database, functional GGA-PBE.

Lattice parameters (Å, degrees): 4.527 4.527 10.822 90.00 90.00 90.00
Atoms (fractional coordinates):
Pm (0.500, 0.000, 0.237)
Pm (0.000, 0.500, 0.763)
Mg (0.500, 0.500, 0.500)
Sn (0.000, 0.000, 0.500)
Sn (0.500, 0.000, 0.868)
Sn (0.000, 0.500, 0.132)
Pd (0.500, 0.500, 0.000)
Pd (0.000, 0.000, 0.000)
Pd (0.500, 0.000, 0.630)
Pd (0.000, 0.500, 0.370)

Output
N(E_F) ... 6.52 states/eV/cell
Space group ... P-4m2
ΔH_f (0 K) ... -0.758 eV per atom
Energy ... -5.146 eV per atom
M_tot ... 0.00 Bohr magnetons per cell
Volume ... 222 Å³/f.u.

(6)
A relaxed structure of Ho2PaBr. Source: the Alexandria database, functional GGA-PBE.

Lattice parameters (Å, degrees): 3.328 3.328 11.449 81.64 81.64 60.00
Atoms (fractional coordinates):
Pa (0.000, 0.000, 0.000)
Ho (0.096, 0.096, 0.712)
Ho (0.904, 0.904, 0.288)
Br (0.500, 0.500, 0.500)

Output
N(E_F) ... 4.36 states/eV/cell
Space group ... R-3m
Energy ... -5.188 eV per atom
M_tot ... 0.00 Bohr magnetons per cell
Formation energy from raw total energies ... -0.107 eV per atom
Volume ... 108 Å³/f.u.

(7)
A relaxed structure of Eu2S3. Source: the Alexandria database, functional GGA-PBE.

Lattice parameters (Å, degrees): 4.106 7.509 15.333 90.00 90.00 90.00
Each line ends with the local moment (μB).
Atoms (fractional coordinates):
Eu (0.750, 0.731, 0.040)  6.48
Eu (0.750, 0.231, 0.460)  6.48
Eu (0.250, 0.269, 0.960)  6.48
Eu (0.250, 0.769, 0.540)  6.48
Eu (0.750, 0.354, 0.710)  6.53
Eu (0.750, 0.854, 0.790)  6.53
Eu (0.250, 0.646, 0.290)  6.53
Eu (0.250, 0.146, 0.210)  6.53
S (0.750, 0.489, 0.892)  -0.24
S (0.750, 0.989, 0.608)  -0.24
S (0.250, 0.511, 0.108)  -0.24
S (0.250, 0.011, 0.392)  -0.24
S (0.750, 0.362, 0.283)  -0.26
S (0.750, 0.862, 0.217)  -0.26
S (0.250, 0.638, 0.717)  -0.26
S (0.250, 0.138, 0.783)  -0.26
S (0.750, 0.133, 0.070)  -0.30
S (0.750, 0.633, 0.430)  -0.30
S (0.250, 0.867, 0.930)  -0.30
S (0.250, 0.367, 0.570)  -0.30

Output
N(E_F) ... 27.58 states/eV/cell
Space group ... Pnma
Energy ... -8.213 eV per atom
M_tot ... 48.10 Bohr magnetons per cell
Formation energy from raw total energies ... -1.627 eV per atom
Volume ... 118 Å³/f.u.

(8)
A relaxed structure of Zn5C2O12. Source: the Alexandria database, functional GGA-PBE.

Lattice parameters (Å, degrees): 7.770 7.770 5.436 80.87 80.87 46.77
Each line ends with the local moment (μB).
Atoms (fractional coordinates):
Zn (0.000, 0.000, 0.000)  0.10
Zn (0.735, 0.265, 0.500)  0.09
Zn (0.265, 0.735, 0.500)  0.09
Zn (0.378, 0.378, 0.071)  0.04
Zn (0.622, 0.622, 0.929)  0.04
C (0.179, 0.179, 0.322)  -0.02
C (0.821, 0.821, 0.678)  -0.02
O (0.087, 0.087, 0.309)  0.10
O (0.913, 0.913, 0.691)  0.10
O (0.239, 0.239, 0.117)  0.13
O (0.761, 0.761, 0.883)  0.13
O (0.205, 0.205, 0.534)  0.40
O (0.795, 0.795, 0.466)  0.40
O (0.577, 0.577, 0.291)  0.58
O (0.423, 0.423, 0.709)  0.58
O (0.691, 0.173, 0.210)  0.61
O (0.173, 0.691, 0.210)  0.61
O (0.309, 0.827, 0.790)  0.61
O (0.827, 0.309, 0.790)  0.61

Output
N(E_F) ... 6.79 states/eV/cell
Space group ... C2/m
Energy ... -5.274 eV per atom
M_tot ... 6.03 Bohr magnetons per cell
Formation energy from raw total energies ... -0.837 eV per atom
Volume ... 236 Å³/f.u.

(9)
A relaxed structure of Pm2ZnBr. Source: the Alexandria database, functional GGA-PBE.

Lattice parameters (Å, degrees): 4.119 4.119 7.922 74.93 74.93 60.00
Atoms (fractional coordinates):
Zn (0.000, 0.000, 0.000)
Br (0.500, 0.500, 0.500)
Pm (0.256, 0.256, 0.233)
Pm (0.744, 0.744, 0.767)

Output
N(E_F) ... 3.53 states/eV/cell
Space group ... R-3m
Energy relative to the lowest polymorph listed for this composition ... 0 meV per atom
Energy ... -3.811 eV per atom
M_tot ... 0.00 Bohr magnetons per cell
Formation energy from raw total energies ... -0.699 eV per atom
Volume ... 111 Å³/f.u.

(10)
A relaxed structure of La2MgCd4Ga3. Source: the Alexandria database, functional GGA-PBE.

Lattice parameters (Å, degrees): 4.497 4.497 11.743 90.00 90.00 90.00
Atoms (fractional coordinates):
La (0.500, 0.000, 0.237)
La (0.000, 0.500, 0.763)
Mg (0.500, 0.500, 0.500)
Cd (0.500, 0.500, 0.000)
Cd (0.000, 0.000, 0.000)
Cd (0.500, 0.000, 0.640)
Cd (0.000, 0.500, 0.360)
Ga (0.000, 0.000, 0.500)
Ga (0.500, 0.000, 0.861)
Ga (0.000, 0.500, 0.139)

Output
N(E_F) ... 4.35 states/eV/cell
Space group ... P-4m2
ΔH_f (0 K) ... -0.370 eV per atom
Energy ... -2.789 eV per atom
M_tot ... 0.00 Bohr magnetons per cell
Volume ... 238 Å³/f.u.

(11)
A relaxed structure of BeFe2Ir. Source: the Alexandria database, functional GGA-PBE.

Lattice parameters (Å, degrees): 8.142 8.142 8.142 18.51 18.51 18.51
Each line ends with the local moment (μB).
Atoms (fractional coordinates):
Be (0.750, 0.750, 0.750)  -0.08
Ir (0.250, 0.250, 0.250)  -0.12
Fe (0.007, 0.007, 0.007)  2.30
Fe (0.493, 0.493, 0.493)  2.30

Output
N(E_F) ... 4.06 states/eV/cell
Space group ... R-3m
ΔH_f (0 K) ... 0.072 eV per atom
Energy ... -7.306 eV per atom
M_tot ... 4.37 Bohr magnetons per cell
Volume ... 48 Å³/f.u.

(12)
A relaxed structure of AcLa12Nd7. Source: the Alexandria database, functional GGA-PBE.

Lattice parameters (Å, degrees): 10.267 10.267 10.267 109.47 109.47 109.47
Atoms (fractional coordinates):
Ac (0.000, 0.000, 0.000)
La (0.490, 0.745, 0.746)
La (0.999, 0.745, 0.254)
La (0.510, 0.255, 0.254)
La (0.001, 0.255, 0.746)
La (0.746, 0.001, 0.255)
La (0.746, 0.490, 0.745)
La (0.254, 0.999, 0.745)
La (0.254, 0.510, 0.255)
La (0.745, 0.746, 0.490)
La (0.255, 0.254, 0.510)
La (0.745, 0.254, 0.999)
La (0.255, 0.746, 0.001)
Nd (0.500, 0.500, 0.000)
Nd (0.000, 0.500, 0.500)
Nd (0.500, 0.000, 0.500)
Nd (0.500, 0.500, 0.500)
Nd (0.000, 0.000, 0.500)
Nd (0.500, 0.000, 0.000)
Nd (0.000, 0.500, 0.000)

Output
N(E_F) ... 33.71 states/eV/cell
Space group ... Im-3
ΔH_f (0 K) ... 0.501 eV per atom
Energy relative to the lowest polymorph listed for this composition ... 427 meV per atom
Energy ... -4.330 eV per atom
M_tot ... 0.04 Bohr magnetons per cell
Volume ... 833 Å³/f.u.

(13)
A relaxed structure of Li4HgSe3. Source: the Alexandria database, functional GGA-PBE.

Lattice parameters (Å, degrees): 6.701 7.664 8.788 111.29 90.00 115.92
Atoms (fractional coordinates):
Hg (0.645, 0.965, 0.760)
Hg (0.320, 0.965, 0.260)
Se (0.663, 0.327, 0.831)
Se (0.664, 0.327, 0.331)
Se (0.288, 0.587, 0.579)
Se (0.299, 0.587, 0.079)
Se (0.950, 0.871, 0.847)
Se (0.921, 0.871, 0.347)
Li (0.286, 0.229, 0.920)
Li (0.944, 0.229, 0.420)
Li (0.587, 0.477, 0.631)
Li (0.890, 0.477, 0.131)
Li (0.084, 0.577, 0.829)
Li (0.493, 0.577, 0.329)
Li (0.034, 0.746, 0.552)
Li (0.713, 0.746, 0.052)

Output
N(E_F) ... 0.00 states/eV/cell
Space group ... Cc
Energy ... -3.224 eV per atom
M_tot ... 0.00 Bohr magnetons per cell
Formation energy from raw total energies ... -0.922 eV per atom
Volume ... 186 Å³/f.u.

(14)
A relaxed structure of Nb2WI. Source: the Alexandria database, functional GGA-PBE.

Lattice parameters (Å, degrees): 4.087 4.087 10.134 78.37 78.37 90.00
Atoms (fractional coordinates):
I (0.500, 0.500, 0.000)
I (0.250, 0.750, 0.500)
Nb (0.622, 0.125, 0.250)
Nb (0.128, 0.625, 0.250)
Nb (0.375, 0.378, 0.750)
Nb (0.875, 0.872, 0.750)
W (0.000, 0.000, 0.000)
W (0.750, 0.250, 0.500)

Output
N(E_F) ... 7.36 states/eV/cell
Space group ... I-42d
Energy relative to the lowest polymorph listed for this composition ... 387 meV per atom
Energy ... -7.453 eV per atom
M_tot ... 0.00 Bohr magnetons per cell
Formation energy from raw total energies ... 1.208 eV per atom
Volume ... 81 Å³/f.u.

(15)
A relaxed structure of SrPm4Hg5. Source: the Alexandria database, functional GGA-PBE.

Lattice parameters (Å, degrees): 3.843 3.843 19.291 90.00 90.00 90.00
Each line ends with the local moment (μB).
Atoms (fractional coordinates):
Sr (0.000, 0.000, 0.000)  0.00
Pm (0.000, 0.000, 0.207)  0.12
Pm (0.000, 0.000, 0.402)  0.21
Pm (0.000, 0.000, 0.598)  0.21
Pm (0.000, 0.000, 0.793)  0.12
Hg (0.500, 0.500, 0.113)  0.01
Hg (0.500, 0.500, 0.305)  0.01
Hg (0.500, 0.500, 0.500)  0.03
Hg (0.500, 0.500, 0.695)  0.01
Hg (0.500, 0.500, 0.887)  0.01

Output
N(E_F) ... 10.26 states/eV/cell
Space group ... P4/mmm
ΔH_f (0 K) ... -0.487 eV per atom
Energy ... -2.707 eV per atom
M_tot ... 1.35 Bohr magnetons per cell
Volume ... 285 Å³/f.u.

(16)
A relaxed structure of CsSeI. Source: the Alexandria database, functional GGA-PBE.

Lattice parameters (Å, degrees): 5.141 5.141 11.071 99.07 99.07 88.94
Atoms (fractional coordinates):
Cs (0.221, 0.217, 0.872)
Cs (0.217, 0.221, 0.372)
Se (0.754, 0.749, 0.954)
Se (0.749, 0.754, 0.454)
I (0.655, 0.651, 0.171)
I (0.651, 0.655, 0.671)

Output
N(E_F) ... 0.28 states/eV/cell
Space group ... Cc
Energy relative to the lowest polymorph listed for this composition ... 110 meV per atom
Energy ... -2.707 eV per atom
M_tot ... 0.00 Bohr magnetons per cell
Formation energy from raw total energies ... -0.744 eV per atom
Volume ... 143 Å³/f.u.

(17)
A relaxed structure of Pm2Te2F. Source: the Alexandria database, functional GGA-PBE.

Lattice parameters (Å, degrees): 6.266 7.232 8.912 123.43 90.00 115.67
Atoms (fractional coordinates):
Pm (0.175, 0.349, 0.566)
Pm (0.825, 0.651, 0.434)
Pm (0.423, 0.846, 0.152)
Pm (0.577, 0.154, 0.848)
Te (0.678, 0.355, 0.598)
Te (0.322, 0.645, 0.402)
Te (0.097, 0.194, 0.849)
Te (0.903, 0.806, 0.151)
F (0.385, 0.771, 0.852)
F (0.615, 0.229, 0.148)

Output
N(E_F) ... 3.18 states/eV/cell
Space group ... C2/m
Energy relative to the lowest polymorph listed for this composition ... 0 meV per atom
Energy ... -5.607 eV per atom
M_tot ... 0.00 Bohr magnetons per cell
Formation energy from raw total energies ... -2.076 eV per atom
Volume ... 144 Å³/f.u.

(18)
A relaxed structure of HfTi4Os. Source: the Alexandria database, functional GGA-PBE.

Lattice parameters (Å, degrees): 4.517 5.401 5.489 61.46 65.70 65.28
Atoms (fractional coordinates):
Hf (0.000, 0.500, 0.500)
Ti (0.653, 0.006, 0.688)
Ti (0.347, 0.994, 0.312)
Ti (0.703, 0.448, 0.145)
Ti (0.297, 0.552, 0.855)
Os (0.000, 0.000, 0.000)

Output
N(E_F) ... 5.64 states/eV/cell
Space group ... C2/m
ΔH_f (0 K) ... -0.271 eV per atom
Energy ... -9.065 eV per atom
M_tot ... 0.00 Bohr magnetons per cell
Volume ... 103 Å³/f.u.

(19)
A relaxed structure of Ti2V2Sn. Source: the Alexandria database, functional GGA-PBE.

Lattice parameters (Å, degrees): 7.094 7.094 3.317 90.00 90.00 90.00
Atoms (fractional coordinates):
V (0.397, 0.897, 0.000)
V (0.897, 0.603, 0.000)
V (0.603, 0.103, 0.000)
V (0.103, 0.397, 0.000)
Sn (0.000, 0.000, 0.000)
Sn (0.500, 0.500, 0.000)
Ti (0.192, 0.692, 0.500)
Ti (0.692, 0.808, 0.500)
Ti (0.808, 0.308, 0.500)
Ti (0.308, 0.192, 0.500)

Output
N(E_F) ... 8.82 states/eV/cell
Space group ... P4/mbm
ΔH_f (0 K) ... -0.016 eV per atom
Energy ... -7.622 eV per atom
M_tot ... 0.00 Bohr magnetons per cell
Volume ... 83 Å³/f.u.

(20)
A relaxed structure of AcSmAg2S4. Source: the Alexandria database, functional GGA-PBE.

Lattice parameters (Å, degrees): 6.868 6.398 6.398 66.90 57.54 57.54
Atoms (fractional coordinates):
Ac (0.000, 0.000, 0.000)
Sm (0.500, 0.500, 0.500)
Ag (0.176, 0.324, 0.324)
Ag (0.824, 0.676, 0.676)
S (0.453, 0.088, 0.550)
S (0.091, 0.912, 0.450)
S (0.909, 0.550, 0.088)
S (0.547, 0.450, 0.912)

Output
N(E_F) ... 0.17 states/eV/cell
Space group ... I222
Energy ... -5.106 eV per atom
M_tot ... 0.00 Bohr magnetons per cell
Formation energy from raw total energies ... -1.227 eV per atom
Volume ... 198 Å³/f.u.